A plane-wave DFT calculation with GGA-PBEsol was carried out for a relaxed Li2AgHg crystal.

abc: 2.9366 4.0762 5.6742
angles: 90.00 90.00 90.00
Fractional positions:
Li 0.5000 0.5000 0.2671
Li 0.0000 0.0000 0.9870
Ag 0.0000 0.0000 0.4805
Hg 0.5000 0.5000 0.7655

Space-group type: Pmm2 (25)
Formation energy, eV per atom: -0.24
Magnetization, μB/cell: 0.00


A plane-wave DFT calculation with GGA-PBEsol was carried out for a relaxed Na2LaSb2 crystal.

abc: 3.3470 8.8456 8.8456
angles: 90.00 90.00 90.00
Fractional positions:
Na 0.0000 0.8904 0.6096
Na 0.0000 0.3904 0.8904
Na 0.0000 0.1096 0.3904
Na 0.0000 0.6096 0.1096
Sb 0.5000 0.6883 0.8117
Sb 0.5000 0.8117 0.3117
Sb 0.5000 0.1883 0.6883
Sb 0.5000 0.3117 0.1883
La 0.0000 0.5000 0.5000
La 0.0000 0.0000 0.0000

ΔE_f (raw), meV per atom: -517
Space-group type: P4/mbm (127)
Magnetization, μB/cell: 0.00


A plane-wave DFT calculation with GGA-PBEsol was carried out for a relaxed Te2RuWI crystal.

abc: 5.0632 5.0632 5.1599
angles: 90.00 90.00 90.00
Site moments in Bohr magnetons follow the coordinates.
Fractional positions:
Ru 0.0000 0.0000 0.0000  -0.44
Te 0.0000 0.5000 0.0000  -0.20
Te 0.5000 0.0000 0.0000  -0.20
I 0.0000 0.0000 0.5000  -0.08
W 0.5000 0.5000 0.5000  2.77

ΔE_f (raw), meV per atom: 1510
Space-group type: P4/mmm (123)
Magnetization, μB/cell: 2.57


So what do the calculations give for theoretical density? Going down the list: 7.88 5.43 8.37 g/cm³.
So what do the calculations give for total DFT energy (no corrections)? Going down the list: -2.191 -3.969 -5.050 eV/atom.